A plane-wave DFT calculation with PBE was carried out for an optimized crystal structure of YZrInTc.

Calculated values
Energy, eV for the cell shown: -115.2
Formation energy, meV/atom: -168

a = 7.006 Å, b = 7.006 Å, c = 7.006 Å
α = 90.00°, β = 90.00°, γ = 90.00°
Space group F-43m (No. 216)
One atom of each set of equivalent atoms:
Y: 0.000 0.000 0.000
Zr: 0.000 0.000 0.500
In: 0.250 0.250 0.750
Tc: 0.250 0.250 0.250